No. 1
A relaxed K3TeMo crystal, computed with GGA-PBE.

Properties
Size of the total moment = 5.00 μB per formula unit
ΔE_f (raw) = 2.48 eV/f.u.
Distance to the lowest polymorph of the same formula = 0 meV/atom
Total DFT energy (no corrections) = -2.9567 eV/atom

Unit cell a=6.6411 b=6.6411 c=6.6411 alpha=90.00 beta=90.00 gamma=90.00
Last column: nearest neighbours and their distance in Å.
Space group Pm-3m (No. 221)
Unique sites:
K  0.0000  0.0000  0.5000 [3 per cell]  2 Te 3.32
Te  0.0000  0.0000  0.0000 [1 per cell]  6 K 3.32
Mo  0.5000  0.5000  0.5000 [1 per cell]  12 K 4.70

No. 2
A relaxed KTeMo2 crystal, computed with GGA-PBE.

Properties
Size of the total moment = 0.69 μB per formula unit
ΔE_f (raw) = 1.96 eV/f.u.
Total DFT energy (no corrections) = -5.9856 eV/atom

Unit cell a=8.4775 b=3.3038 c=7.6397 alpha=90.00 beta=97.54 gamma=90.00
Last column: nearest neighbours and their distance in Å.
Space group Cm (No. 8)
Unique sites:
K  0.0000  0.0000  0.0000 [2 per cell]  2 K 3.30, 3 Te 3.50-3.63, 1 Mo 3.51
Te  0.2657  0.5000  0.3451 [2 per cell]  5 Mo 2.78-2.89
Mo  0.0063  0.5000  0.5338 [2 per cell]  3 Mo 2.54-2.64, 1 Te 2.78
Mo  0.2244  0.0000  0.6455 [2 per cell]  3 Mo 2.54-2.64

No. 3
A relaxed KTeMo4 crystal, computed with GGA-PBE.

Properties
Size of the total moment = 0.00 μB per formula unit
ΔE_f (raw) = 6.04 eV/f.u.
Total DFT energy (no corrections) = -6.9211 eV/atom

Unit cell a=7.7638 b=7.7638 c=7.7638 alpha=90.00 beta=90.00 gamma=90.00
Last column: nearest neighbours and their distance in Å.
Space group F-43m (No. 216)
Unique sites:
K  0.0000  0.0000  0.0000 [4 per cell]  12 Mo 3.22, 4 Te 3.36
Te  0.2500  0.2500  0.2500 [4 per cell]  12 Mo 3.22, 4 K 3.36
Mo  0.1239  0.1239  0.6239 [16 per cell]  6 Mo 2.72-2.77

No. 4
A relaxed KTeMo2 crystal, computed with GGA-PBE.

Properties
Size of the total moment = 0.00 μB per formula unit
ΔE_f (raw) = 2.65 eV/f.u.
Total DFT energy (no corrections) = -5.8124 eV/atom

Unit cell a=10.3109 b=3.4132 c=6.2343 alpha=90.00 beta=98.84 gamma=90.00
Last column: nearest neighbours and their distance in Å.
Space group C2/m (No. 12)
Unique sites:
K  0.0000  0.0000  0.0000 [2 per cell]  2 K 3.41, 4 Te 3.55, 6 Mo 3.58-3.77
Te  0.0000  0.5000  0.5000 [2 per cell]  6 Mo 2.92-3.01
Mo  0.2292  0.0000  0.6237 [4 per cell]  2 Mo 2.38

No. 5
A relaxed KTe2Mo crystal, computed with GGA-PBE.

Properties
Size of the total moment = 3.32 μB per formula unit
ΔE_f (raw) = 1.84 eV/f.u.
Total DFT energy (no corrections) = -4.0922 eV/atom

Unit cell a=4.4850 b=4.4850 c=11.0211 alpha=90.00 beta=90.00 gamma=90.00
Last column: nearest neighbours and their distance in Å.
Space group I-4m2 (No. 119)
Unique sites:
K  0.0000  0.0000  0.0000 [2 per cell]  4 Te 3.17
Te  0.0000  0.0000  0.5000 [2 per cell]  4 K 3.17
Te  0.0000  0.5000  0.2500 [2 per cell]  4 Mo 3.17
Mo  0.0000  0.5000  0.7500 [2 per cell]  4 Te 3.17

No. 6
A relaxed KTeMo2 crystal, computed with GGA-PBE.

Properties
Size of the total moment = 0.00 μB per formula unit
ΔE_f (raw) = 1.74 eV/f.u.
Total DFT energy (no corrections) = -6.0409 eV/atom

Unit cell a=3.3299 b=4.0820 c=7.7954 alpha=90.00 beta=90.10 gamma=90.00
Last column: nearest neighbours and their distance in Å.
Space group Pm (No. 6)
Unique sites:
K  0.0000  0.0000  0.0000 [1 per cell]  2 K 3.33, 4 Te 3.62, 2 Mo 3.64-3.65
Te  0.4992  0.5000  0.6822 [1 per cell]  4 Mo 2.74-2.91
Mo  0.4983  0.0000  0.4162 [1 per cell]  4 Mo 2.64, 2 Te 2.91
Mo  0.9981  0.5000  0.4036 [1 per cell]  4 Mo 2.64, 2 Te 2.74

No. 7
A relaxed KTeMo2 crystal, computed with GGA-PBE.

Properties
Size of the total moment = 0.00 μB per formula unit
ΔE_f (raw) = 4.22 eV/f.u.
Total DFT energy (no corrections) = -5.4215 eV/atom

Unit cell a=3.0007 b=5.3186 c=11.1529 alpha=90.00 beta=90.00 gamma=90.00
Last column: nearest neighbours and their distance in Å.
Space group Immm (No. 71)
Unique sites:
K  0.0000  0.0000  0.0000 [2 per cell]  2 K 3.00, 4 Te 3.05
Te  0.0000  0.0000  0.5000 [2 per cell]  4 Mo 2.76, 2 Te 3.00, 4 K 3.05
Mo  0.0000  0.5000  0.2074 [4 per cell]  2 Te 2.76, 2 Mo 3.00

No. 8
A relaxed KTeMo2 crystal, computed with GGA-PBE.

Properties
Size of the total moment = 0.00 μB per formula unit
ΔE_f (raw) = 2.34 eV/f.u.
Total DFT energy (no corrections) = -5.8893 eV/atom

Unit cell a=3.4704 b=5.2762 c=10.1825 alpha=90.00 beta=90.00 gamma=90.00
Last column: nearest neighbours and their distance in Å.
Space group Cmm2 (No. 35)
Unique sites:
K  0.0000  0.0000  0.0000 [2 per cell]  6 K 3.16-3.47, 2 Te 3.45, 2 Mo 3.52
Te  0.0000  0.5000  0.2931 [2 per cell]  2 Mo 2.95, 4 Te 3.16
Mo  0.0000  0.0000  0.5276 [2 per cell]  2 Mo 2.47
Mo  0.0000  0.5000  0.6997 [2 per cell]  2 Mo 2.47

No. 9
A relaxed KTe2Mo crystal, computed with GGA-PBE.

Properties
Size of the total moment = 0.20 μB per formula unit
ΔE_f (raw) = 1.44 eV/f.u.
Total DFT energy (no corrections) = -4.1930 eV/atom

Unit cell a=3.3714 b=3.3714 c=35.4907 alpha=90.00 beta=90.00 gamma=120.00
Last column: nearest neighbours and their distance in Å.
Space group R3m (No. 160, hexagonal axes)
Unique sites:
K  0.0000  0.0000  0.0000 [3 per cell]  6 K 3.37, 3 Te 3.50, 3 Mo 3.67
Te  0.0000  0.0000  0.5275 [3 per cell]  3 Mo 2.67
Te  0.0000  0.0000  0.7487 [3 per cell]  6 Te 3.37, 3 K 3.50
Mo  0.0000  0.0000  0.2456 [3 per cell]  3 Te 2.67

No. 10
A relaxed KTeMo2 crystal, computed with GGA-PBE.

Properties
Size of the total moment = 0.00 μB per formula unit
ΔE_f (raw) = 4.80 eV/f.u.
Total DFT energy (no corrections) = -5.2742 eV/atom

Unit cell a=3.3613 b=5.0527 c=10.3995 alpha=90.00 beta=90.00 gamma=90.00
Last column: nearest neighbours and their distance in Å.
Space group Cmmm (No. 65)
Unique sites:
K  0.0000  0.0000  0.0000 [2 per cell]  6 K 3.03-3.36
Te  0.0000  0.0000  0.5000 [2 per cell]  4 Mo 2.72, 4 Te 3.03
Mo  0.0000  0.5000  0.2941 [4 per cell]  2 Te 2.72, 4 Mo 3.03

No. 11
A relaxed KTe3Mo3 crystal, computed with GGA-PBE.

Properties
Size of the total moment = 0.00 μB per formula unit
ΔE_f (raw) = -3.43 eV/f.u.
Total DFT energy (no corrections) = -6.6351 eV/atom

Unit cell a=9.8467 b=9.8467 c=4.6276 alpha=90.00 beta=90.00 gamma=120.00
Last column: nearest neighbours and their distance in Å.
Space group P6_3/m (No. 176)
Unique sites:
K  0.3333  0.6667  0.2500 [2 per cell]  9 Te 3.69-3.75
Te  0.0599  0.7015  0.7500 [6 per cell]  4 Mo 2.83-2.89
Mo  0.0288  0.8602  0.2500 [6 per cell]  6 Mo 2.66-2.78, 4 Te 2.83-2.89

No. 12
A relaxed K2Ti2Mo crystal, computed with GGA-PBE.

Properties
Size of the total moment = 0.00 μB per formula unit
Distance to the lowest polymorph of the same formula = 374 meV/atom
DFT formation energy = 122.4 kJ per mole of atoms
Total DFT energy (no corrections) = -4.4950 eV/atom

Unit cell a=3.7088 b=3.7088 c=16.9229 alpha=90.00 beta=90.00 gamma=90.00
Last column: nearest neighbours and their distance in Å.
Space group I4/mmm (No. 139)
Unique sites:
K  0.0000  0.5000  0.2500 [4 per cell]  4 K 2.62
Ti  0.0000  0.0000  0.0708 [4 per cell]  1 Ti 2.40
Mo  0.0000  0.0000  0.5000 [2 per cell]  8 Ti 2.88

Among the records above, which one has the highest size of the total moment? K3TeMo